1.
The following is a DFT calculation (PBE-GGA) of a relaxed structure of KLiSb2Pb.

```
KLiSb2Pb
1.0
-4.1648 2.3270 1.6184
-1.7986 0.0535 -4.7056
0.1522 -6.9611 2.5595
K Sb Pb Li
1 2 1 1
Direct
0.0000 0.0000 0.0000
0.6151 0.6151 0.2302
0.3849 0.3849 0.7698
0.7500 0.2500 0.5000
0.2500 0.7500 0.5000
```

- uncorrected formation energy (meV/atom) = -336.2
- symmetry = I-4m2, No. 119
- DOS(E_F) (states/eV/cell) = 0.08

=====

2.
The following is a DFT calculation (PBE-GGA) of a relaxed structure of KLiSnPb.

```
KLiSnPb
1.0
-2.9500 -3.9760 -2.3834
0.5623 -5.2081 1.6585
-4.0573 -2.4518 2.7782
Pb K Li Sn
1 1 1 1
Direct
0.2500 0.2500 0.2500
0.0000 0.0000 0.0000
0.7500 0.7500 0.7500
0.5000 0.5000 0.5000
```

- symmetry = F-43m, No. 216
- DOS(E_F) (states/eV/cell) = 1.85
- formation enthalpy at 0 K (eV/atom) = -0.10

=====

Number 1: total magnetization 0.00 μB/f.u., VASP energy -0.2447 Ry per atom. Number 2: total magnetization 0.00 μB/f.u., VASP energy -0.2046 Ry per atom.